Entry 1:
Compound: GaAg4Sn
Source: Alexandria
Functional: PBE
Structure: relaxed

Cell lengths 9.5497, 9.5497, 9.5497 Å; angles 150.43, 44.52, 147.49 degrees
Last column: nearest neighbours and their distance in Å.
Positions (direct):
Ga (0.0000, 0.0000, 0.0000)  8 Ag 2.69-2.85
Ga (0.5000, 0.0000, 0.5000)  8 Ag 2.69-2.85
Ag (0.0761, 0.9187, 0.1574)  1 Ga 2.82, 6 Ag 2.91-3.04, 3 Sn 3.01-3.02
Ag (0.1525, 0.5723, 0.5802)  3 Ga 2.69-2.85, 4 Ag 2.91-2.96, 1 Sn 3.00
Ag (0.2613, 0.9187, 0.3426)  1 Ga 2.82, 6 Ag 2.91-3.04, 3 Sn 3.01-3.02
Ag (0.4920, 0.5723, 0.9198)  3 Ga 2.69-2.85, 4 Ag 2.91-2.96, 1 Sn 3.00
Ag (0.5080, 0.4277, 0.0802)  3 Ga 2.69-2.85, 4 Ag 2.91-2.96, 1 Sn 3.00
Ag (0.7387, 0.0813, 0.6574)  1 Ga 2.82, 6 Ag 2.91-3.04, 3 Sn 3.01-3.02
Ag (0.8475, 0.4277, 0.4198)  3 Ga 2.69-2.85, 4 Ag 2.91-2.96, 1 Sn 3.00
Ag (0.9239, 0.0813, 0.8426)  1 Ga 2.82, 6 Ag 2.91-3.04, 3 Sn 3.01-3.02
Sn (0.3038, 0.5538, 0.7500)  10 Ag 3.00-3.26, 2 Sn 3.22
Sn (0.6962, 0.4462, 0.2500)  10 Ag 3.00-3.26, 2 Sn 3.22

The value obtained for the formation energy is 0.012 eV/atom. As for the crystal system: orthorhombic. The energy above the most stable polymorph in this dataset comes out at 0 meV/atom.


Entry 2:
Compound: YRuCl4
Source: Alexandria
Functional: PBE
Structure: relaxed

Cell lengths 5.7430, 5.7430, 5.7430 Å; angles 60.00, 60.00, 60.00 degrees
Last column: nearest neighbours and their distance in Å.
Positions (direct):
Y (0.0000, 0.0000, 0.0000)  12 Cl 3.37, 4 Ru 3.52
Ru (0.2500, 0.2500, 0.2500)  12 Cl 3.37, 4 Y 3.52
Cl (0.1265, 0.6245, 0.6245)  6 Cl 2.86-2.88
Cl (0.6245, 0.1265, 0.6245)  6 Cl 2.86-2.88
Cl (0.6245, 0.6245, 0.1265)  6 Cl 2.86-2.88
Cl (0.6245, 0.6245, 0.6245)  6 Cl 2.86-2.88

As for the crystal system: cubic. The uncorrected formation energy comes out at 362 meV/atom.


Entry 3:
Compound: Pu2GaOs
Source: Alexandria
Functional: PBE
Structure: relaxed

Cell lengths 3.1796, 3.1796, 8.2442 Å; angles 90.00, 90.00, 90.00 degrees
Last column: nearest neighbours and their distance in Å.
Positions (direct):
Pu (0.0000, 0.0000, 0.2242)  4 Os 2.91, 4 Pu 3.18, 4 Ga 3.20
Pu (0.0000, 0.0000, 0.7758)  4 Os 2.91, 4 Pu 3.18, 4 Ga 3.20
Ga (0.5000, 0.5000, 0.5000)  4 Ga 3.18, 8 Pu 3.20
Os (0.5000, 0.5000, 0.0000)  8 Pu 2.91, 4 Os 3.18

The value obtained for the formation energy is -0.173 eV/atom. As for the crystal system: tetragonal.


Entry 4:
Compound: Pu2TlAgBr8
Source: Alexandria
Functional: PBE
Structure: relaxed

Cell lengths 6.9829, 8.8713, 7.1830 Å; angles 90.00, 95.38, 90.00 degrees
Last column: nearest neighbours and their distance in Å.
Positions (direct):
Pu (0.0000, 0.2430, 0.0000)  6 Br 2.84-2.94
Pu (0.0000, 0.7570, 0.0000)  6 Br 2.84-2.94
Tl (0.5000, 0.5000, 0.5000)  6 Br 3.20-3.46
Ag (0.5000, 0.0000, 0.5000)  4 Br 2.82
Br (0.2176, 0.5000, 0.8702)  2 Pu 2.94
Br (0.2234, 0.0000, 0.8579)  2 Pu 2.90
Br (0.2470, 0.2212, 0.3365)  1 Ag 2.82, 1 Pu 2.84
Br (0.2470, 0.7788, 0.3365)  1 Ag 2.82, 1 Pu 2.84
Br (0.7530, 0.2212, 0.6635)  1 Ag 2.82, 1 Pu 2.84
Br (0.7530, 0.7788, 0.6635)  1 Ag 2.82, 1 Pu 2.84
Br (0.7766, 0.0000, 0.1421)  2 Pu 2.90
Br (0.7824, 0.5000, 0.1298)  2 Pu 2.94

As for the crystal system: monoclinic. The uncorrected formation energy comes out at -1182 meV/atom.


Number 1: spin magnetization 0.000 μB per atom, final energy -0.225 Ry/atom, Fermi-level density of states 0.26 states/eV/atom. Number 2: spin magnetization 0.522 μB per atom, final energy -0.257 Ry/atom, Fermi-level density of states 1.27 states/eV/atom. Number 3: spin magnetization 2.388 μB per atom, final energy -0.801 Ry/atom, Fermi-level density of states 2.11 states/eV/atom. Number 4: spin magnetization 0.833 μB per atom, final energy -0.376 Ry/atom, Fermi-level density of states 1.99 states/eV/atom.